Record 1
VASP calculation (PBE) on a geometry-optimized HfRe2BSe structure.

abc: 4.943 4.943 4.286
angles: 90.00 90.00 90.00
Space group P4/mmm (No. 123)
Asymmetric unit:
Hf (0.000, 0.000, 0.000) (multiplicity 1)
Re (0.000, 0.500, 0.000) (multiplicity 2)
B (0.000, 0.000, 0.500) (multiplicity 1)
Se (0.500, 0.500, 0.500) (multiplicity 1)

Values from the calculation:
As for the total DFT energy (no corrections): -33.3 eV/f.u.

Record 2
VASP calculation (PBE) on a geometry-optimized Tl3SeN structure.

abc: 4.045 6.856 10.685
angles: 91.10 90.03 90.03
Space group P1 (No. 1)
Asymmetric unit:
Tl (0.000, 0.000, 0.000) (multiplicity 1)
Tl (0.000, 0.204, 0.313) (multiplicity 1)
Tl (0.002, 0.587, 0.541) (multiplicity 1)
Tl (0.499, 0.713, 0.240) (multiplicity 1)
Tl (0.500, 0.475, 0.835) (multiplicity 1)
Tl (0.501, 0.107, 0.573) (multiplicity 1)
Se (0.001, 0.421, 0.005) (multiplicity 1)
Se (0.500, 0.909, 0.836) (multiplicity 1)
N (0.502, 0.428, 0.637) (multiplicity 1)
N (0.999, 0.927, 0.195) (multiplicity 1)

Values from the calculation:
As for the total DFT energy (no corrections): -17.3 eV/f.u.

Record 3
VASP calculation (PBE) on a geometry-optimized SrBiIrO6 structure.

abc: 5.164 5.164 10.296
angles: 90.00 90.00 90.00
Space group P4_2nm (No. 102)
Asymmetric unit:
Sr (0.000, 0.000, 0.000) (multiplicity 2)
Bi (0.000, 0.000, 0.339) (multiplicity 2)
Ir (0.000, 0.000, 0.669) (multiplicity 2)
O (0.174, 0.174, 0.527) (multiplicity 4)
O (0.188, 0.188, 0.806) (multiplicity 4)
O (0.241, 0.241, 0.172) (multiplicity 4)

Values from the calculation:
As for the total DFT energy (no corrections): -55.3 eV/f.u.

Record 4
VASP calculation (PBE) on a geometry-optimized TbScPb2 structure.

abc: 3.7177 3.7177 27.9197
angles: 90.00 90.00 120.00
Space group R-3m (No. 166, hexagonal axes)
Asymmetric unit:
Tb (0.0000, 0.0000, 0.0000) (multiplicity 3)
Sc (0.0000, 0.0000, 0.5000) (multiplicity 3)
Pb (0.0000, 0.0000, 0.2458) (multiplicity 6)

Values from the calculation:
For the formation energy, the calculation gives -0.31 eV per atom. As for the total DFT energy (no corrections): -19.6 eV/f.u.

Record 5
VASP calculation (PBE) on a geometry-optimized PmTm3Sb2 structure.

abc: 18.233 4.291 9.644
angles: 90.00 113.38 90.00
Space group C2/m (No. 12)
Asymmetric unit:
Pm (0.111, 0.000, 0.120) (multiplicity 4)
Tm (0.057, 0.000, 0.674) (multiplicity 4)
Tm (0.141, 0.500, 0.477) (multiplicity 4)
Tm (0.188, 0.500, 0.890) (multiplicity 4)
Sb (0.012, 0.500, 0.845) (multiplicity 4)
Sb (0.247, 0.000, 0.714) (multiplicity 4)

Values from the calculation:
As for the total DFT energy (no corrections): -30.4 eV/f.u.

Record 6
VASP calculation (PBE) on a geometry-optimized Al2C structure.

abc: 5.410 5.410 5.410
angles: 90.00 90.00 90.00
Space group Fm-3m (No. 225)
Asymmetric unit:
Al (0.250, 0.250, 0.250) (multiplicity 8)
C (0.000, 0.000, 0.000) (multiplicity 4)

Values from the calculation:
For the formation energy, the calculation gives 0.90 eV per atom. As for the total DFT energy (no corrections): -14.0 eV/f.u.

Record 7
VASP calculation (PBE) on a geometry-optimized Pu3Co structure.

abc: 3.379 11.094 8.969
angles: 90.00 90.00 90.00
Space group Cmcm (No. 63)
Asymmetric unit:
Pu (0.000, 0.077, 0.250) (multiplicity 4)
Pu (0.000, 0.367, 0.053) (multiplicity 8)
Co (0.000, 0.221, 0.750) (multiplicity 4)

Values from the calculation:
For the formation energy, the calculation gives 0.11 eV per atom. As for the total DFT energy (no corrections): -49.7 eV/f.u.

Record 8
VASP calculation (PBE) on a geometry-optimized Ac3Dy2Pb3 structure.

abc: 4.543 5.193 23.750
angles: 90.00 90.00 90.00
Space group Immm (No. 71)
Asymmetric unit:
Ac (0.000, 0.000, 0.000) (multiplicity 2)
Ac (0.000, 0.500, 0.121) (multiplicity 4)
Dy (0.000, 0.000, 0.254) (multiplicity 4)
Pb (0.000, 0.000, 0.500) (multiplicity 2)
Pb (0.000, 0.500, 0.347) (multiplicity 4)

Values from the calculation:
For the formation energy, the calculation gives -0.38 eV per atom. As for the total DFT energy (no corrections): -35.7 eV/f.u.

Record 9
VASP calculation (PBE) on a geometry-optimized LaGeO2F structure.

abc: 4.675 4.675 4.529
angles: 90.00 90.00 90.00
Space group P4/mmm (No. 123)
Asymmetric unit:
La (0.000, 0.000, 0.000) (multiplicity 1)
Ge (0.500, 0.500, 0.500) (multiplicity 1)
O (0.000, 0.500, 0.000) (multiplicity 2)
F (0.000, 0.000, 0.500) (multiplicity 1)

Values from the calculation:
As for the total DFT energy (no corrections): -30.1 eV/f.u.

Record 10
VASP calculation (PBE) on a geometry-optimized Cs2K3Rb2 structure.

abc: 17.071 5.210 13.951
angles: 90.00 90.18 90.00
Space group C2/m (No. 12)
Asymmetric unit:
Cs (0.087, 0.000, 0.225) (multiplicity 4)
K (0.000, 0.500, 0.500) (multiplicity 2)
K (0.197, 0.000, 0.620) (multiplicity 4)
Rb (0.143, 0.500, 0.912) (multiplicity 4)

Values from the calculation:
For the formation energy, the calculation gives 0.01 eV per atom. As for the total DFT energy (no corrections): -6.9 eV/f.u.

Record 11
VASP calculation (PBE) on a geometry-optimized Re24Tc5 structure.

abc: 9.601 9.601 9.601
angles: 90.00 90.00 90.00
Space group I-43m (No. 217)
Asymmetric unit:
Re (0.043, 0.358, 0.642) (multiplicity 24)
Re (0.091, 0.091, 0.717) (multiplicity 24)
Tc (0.000, 0.000, 0.000) (multiplicity 2)
Tc (0.177, 0.177, 0.177) (multiplicity 8)

Values from the calculation:
For the formation energy, the calculation gives 0.04 eV per atom. As for the total DFT energy (no corrections): -349.3 eV/f.u.